(1)
Here is an optimized crystal structure of CdSiPd3 from Alexandria. Energies are from PBE.

The structure in extended XYZ format:
```
5
Lattice="4.526 0.000 0.000 0.000 4.526 0.000 0.000 0.000 4.526" Properties=species:S:1:pos:R:3 pbc="T T T"
Cd 0.000 0.000 0.000
Si 2.263 2.263 2.263
Pd 0.000 2.263 2.263
Pd 2.263 0.000 2.263
Pd 2.263 2.263 0.000
```

Summary:
Its space group is Pm-3m. The uncorrected formation energy is -0.193 eV/atom. For the uncorrected energy, the calculation gives -4.576 eV per atom.

***

(2)
Here is an optimized crystal structure of Y2CdCl from Alexandria. Energies are from PBE.

The structure in extended XYZ format:
```
16
Lattice="5.929 0.000 0.000 0.000 5.929 0.000 0.000 0.000 14.922" Properties=species:S:1:pos:R:3 pbc="T T T"
Y 1.249 1.482 1.865
Y 1.482 4.214 5.596
Y 1.482 4.680 13.057
Y 1.715 1.482 9.326
Y 4.214 4.447 9.326
Y 4.447 1.249 13.057
Y 4.447 1.715 5.596
Y 4.680 4.447 1.865
Cd 0.000 0.000 7.461
Cd 0.000 2.965 11.192
Cd 2.965 0.000 3.731
Cd 2.965 2.965 0.000
Cl 0.000 0.000 0.000
Cl 0.000 2.965 3.731
Cl 2.965 0.000 11.192
Cl 2.965 2.965 7.461
```

Summary:
Its space group is I-42d. The uncorrected formation energy is -0.310 eV/atom. For the uncorrected energy, the calculation gives -4.233 eV per atom.

***

(3)
Here is an optimized crystal structure of Tc2NiBr from Alexandria. Energies are from PBE.

The structure in extended XYZ format:
```
16
Lattice="3.711 0.000 0.000 0.000 3.711 0.000 0.000 0.000 19.088" Properties=species:S:1:pos:R:3 pbc="T T T"
Tc 0.718 0.928 2.386
Tc 0.928 2.574 7.158
Tc 0.928 2.992 16.702
Tc 1.137 0.928 11.930
Tc 2.574 2.783 11.930
Tc 2.783 0.718 16.702
Tc 2.783 1.137 7.158
Tc 2.992 2.783 2.386
Ni 0.000 0.000 0.000
Ni 0.000 1.855 4.772
Ni 1.855 0.000 14.316
Ni 1.855 1.855 9.544
Br 0.000 0.000 9.544
Br 0.000 1.855 14.316
Br 1.855 0.000 4.772
Br 1.855 1.855 0.000
```

Summary:
Its space group is I-42d. The uncorrected formation energy is 0.854 eV/atom. For the uncorrected energy, the calculation gives -6.193 eV per atom.

***

(4)
Here is an optimized crystal structure of Pm6PrNd2Er from Alexandria. Energies are from PBE.

The structure in extended XYZ format:
```
20
Lattice="4.626 -7.681 0.000 4.626 7.681 0.000 -1.391 0.000 9.758" Properties=species:S:1:pos:R:3 pbc="T T T"
Pm 2.446 4.267 1.833
Pm 3.249 4.810 5.420
Pm 3.917 4.810 9.217
Pm 3.173 1.630 3.717
Pm 6.110 4.267 3.046
Pm 5.383 1.630 1.162
Pm 2.478 -1.630 8.596
Pm 1.751 -4.267 6.713
Pm 4.688 -1.630 6.041
Pm 3.944 -4.810 0.541
Pm 4.612 -4.810 4.338
Pm 5.415 -4.267 7.925
Pr 4.278 7.379 2.440
Pr 3.583 -7.379 7.319
Nd 2.239 0.773 0.425
Nd 1.544 -0.773 5.304
Nd 6.317 0.773 4.454
Nd 5.622 -0.773 9.333
Er 3.583 1.405 7.319
Er 4.278 -1.405 2.440
```

Summary:
The calculation puts the formation energy at 0.1122 eV per atom. Its space group is C2/c. For the uncorrected energy, the calculation gives -4.626 eV per atom.

***

(5)
Here is an optimized crystal structure of Ti3BO from Alexandria. Energies are from PBE.

The structure in extended XYZ format:
```
5
Lattice="3.971 0.000 0.000 0.000 3.971 0.000 0.000 0.000 3.971" Properties=species:S:1:pos:R:3 pbc="T T T"
Ti 0.000 0.000 1.985
Ti 0.000 1.985 0.000
Ti 1.985 0.000 0.000
B 1.985 1.985 1.985
O 0.000 0.000 0.000
```

Summary:
Its space group is Pm-3m. The uncorrected formation energy is -0.798 eV/atom. For the uncorrected energy, the calculation gives -7.862 eV per atom.

***

(6)
Here is an optimized crystal structure of Ta2NiW from Alexandria. Energies are from PBE.

The structure in extended XYZ format:
```
16
Lattice="7.095 0.000 0.000 0.000 7.095 0.000 0.000 0.000 5.384" Properties=species:S:1:pos:R:3 pbc="T T T"
Ta 1.616 5.321 0.673
Ta 1.774 1.616 4.711
Ta 1.774 1.932 2.019
Ta 1.932 5.321 3.365
Ta 5.163 1.774 3.365
Ta 5.321 5.163 2.019
Ta 5.321 5.479 4.711
Ta 5.479 1.774 0.673
Ni 0.000 0.000 0.000
Ni 0.000 3.548 1.346
Ni 3.548 0.000 4.038
Ni 3.548 3.548 2.692
W 0.000 0.000 2.692
W 0.000 3.548 4.038
W 3.548 0.000 1.346
W 3.548 3.548 0.000
```

Summary:
The calculation puts the formation energy at 0.5543 eV per atom. Its space group is I-42d. For the uncorrected energy, the calculation gives -10.056 eV per atom.

***

(7)
Here is an optimized crystal structure of MnZnFe2 from Alexandria. Energies are from PBE.

The structure in extended XYZ format:
```
8
Lattice="5.087 0.000 0.000 0.000 7.498 0.000 0.000 0.000 2.470" Properties=species:S:1:pos:R:3 pbc="T T T"
Mn 0.000 0.000 0.000
Mn 2.544 3.749 0.000
Zn 0.000 3.749 0.000
Zn 2.544 0.000 0.000
Fe 1.272 1.875 1.235
Fe 1.272 5.624 1.235
Fe 3.815 1.875 1.235
Fe 3.815 5.624 1.235
```

Summary:
The calculation puts the formation energy at 0.1390 eV per atom. Its space group is Cmmm. For the uncorrected energy, the calculation gives -6.703 eV per atom.

***

(8)
Here is an optimized crystal structure of Co3PW from Alexandria. Energies are from PBE.

The structure in extended XYZ format:
```
5
Lattice="4.068 0.000 0.000 0.000 4.068 0.000 0.000 0.000 4.068" Properties=species:S:1:pos:R:3 pbc="T T T"
Co 0.000 0.000 2.034
Co 0.000 2.034 0.000
Co 2.034 0.000 0.000
P 0.000 0.000 0.000
W 2.034 2.034 2.034
```

Summary:
The calculation puts the formation energy at 0.5922 eV per atom. Its space group is Pm-3m. For the uncorrected energy, the calculation gives -7.344 eV per atom.

***

(9)
Here is an optimized crystal structure of Ac2NdRh from Alexandria. Energies are from PBE.

The structure in extended XYZ format:
```
12
Lattice="4.034 0.000 0.000 -2.017 3.494 0.000 0.000 0.000 32.986" Properties=species:S:1:pos:R:3 pbc="T T T"
Ac 0.000 0.000 3.722
Ac 0.000 0.000 29.264
Ac 0.000 2.329 18.268
Ac 0.000 2.329 25.713
Ac 2.017 1.165 7.273
Ac 2.017 1.165 14.718
Nd 0.000 0.000 0.000
Nd 0.000 2.329 21.991
Nd 2.017 1.165 10.995
Rh 0.000 0.000 16.493
Rh 0.000 2.329 5.498
Rh 2.017 1.165 27.488
```

Summary:
The calculation puts the formation energy at -0.1203 eV per atom. Its space group is R-3m. For the uncorrected energy, the calculation gives -5.204 eV per atom.

***

(10)
Here is an optimized crystal structure of K2PaInO6 from Alexandria. Energies are from PBE.

The structure in extended XYZ format:
```
10
Lattice="0.000 4.308 4.308 4.308 0.000 4.308 4.308 4.308 0.000" Properties=species:S:1:pos:R:3 pbc="T T T"
K 2.154 2.154 2.154
K 6.462 6.462 6.462
Pa 0.000 0.000 0.000
In 4.308 4.308 4.308
O 4.308 4.308 2.133
O 4.308 2.133 4.308
O 6.483 4.308 4.308
O 2.133 4.308 4.308
O 4.308 6.483 4.308
O 4.308 4.308 6.483
```

Summary:
Its space group is Fm-3m. The uncorrected formation energy is -2.058 eV/atom. For the uncorrected energy, the calculation gives -6.476 eV per atom.

***

(11)
Here is an optimized crystal structure of Na2CuBr4 from Alexandria. Energies are from PBE.

The structure in extended XYZ format:
```
14
Lattice="5.152 0.000 0.000 0.000 5.152 0.000 0.000 0.000 14.839" Properties=species:S:1:pos:R:3 pbc="T T T"
Na 0.000 0.000 1.980
Na 0.000 0.000 12.859
Na 2.576 2.576 5.440
Na 2.576 2.576 9.399
Cu 0.000 0.000 7.419
Cu 2.576 2.576 0.000
Br 0.000 0.000 4.885
Br 0.000 0.000 9.953
Br 0.000 2.576 0.000
Br 0.000 2.576 7.419
Br 2.576 0.000 0.000
Br 2.576 0.000 7.419
Br 2.576 2.576 2.534
Br 2.576 2.576 12.304
```

Summary:
Its space group is I4/mmm. The uncorrected formation energy is -0.895 eV/atom. For the uncorrected energy, the calculation gives -2.813 eV per atom.

***

(12)
Here is an optimized crystal structure of CdP2RuS from Alexandria. Energies are from PBE.

The structure in extended XYZ format:
```
5
Lattice="4.882 0.000 0.000 0.000 4.882 0.000 0.000 0.000 4.885" Properties=species:S:1:pos:R:3 pbc="T T T"
Cd 0.000 0.000 0.000
P 0.000 2.441 0.000
P 2.441 0.000 0.000
Ru 2.441 2.441 2.442
S 0.000 0.000 2.442
```

Summary:
Its space group is P4/mmm. The uncorrected formation energy is 1.698 eV/atom. For the uncorrected energy, the calculation gives -3.330 eV per atom.